No. 1
Compound: La2CdH
Source: Alexandria
Functional: PBE-GGA
Structure: relaxed

Output
Its energy above the most stable polymorph in this dataset is 33.2 kJ per mole of atoms. Its spin magnetization is 0.00 Bohr magnetons per cell.

Cell: 5.3055 5.3055 5.3055 Å, 60.00 60.00 60.00°
Fractional coordinates of all 4 atoms:
La: 0.2500 0.2500 0.2500
La: 0.7500 0.7500 0.7500
Cd: 0.0000 0.0000 0.0000
H: 0.5000 0.5000 0.5000

***

No. 2
Compound: La2CdH
Source: Alexandria
Functional: PBE-GGA
Structure: relaxed

Output
Its energy above the most stable polymorph in this dataset is 5.1 kJ per mole of atoms. Its spin magnetization is 0.00 Bohr magnetons per cell.

Cell: 8.5900 8.5900 8.5900 Å, 25.18 25.18 25.18°
Fractional coordinates of all 4 atoms:
La: 0.2270 0.2270 0.2270
La: 0.7730 0.7730 0.7730
Cd: 0.0000 0.0000 0.0000
H: 0.5000 0.5000 0.5000

***

No. 3
Compound: La2CdH
Source: Alexandria
Functional: PBE-GGA
Structure: relaxed

Output
Its energy above the most stable polymorph in this dataset is 0.0 kJ per mole of atoms. Its spin magnetization is 0.00 Bohr magnetons per cell.

Cell: 4.8448 4.8448 8.8089 Å, 90.05 90.05 90.00°
Fractional coordinates of all 8 atoms:
La: 0.2504 0.2504 0.3550
La: 0.2500 0.7500 0.0000
La: 0.7500 0.2500 0.0000
La: 0.7496 0.7496 0.6450
Cd: 0.2496 0.2496 0.7276
Cd: 0.7504 0.7504 0.2724
H: 0.2501 0.2501 0.0769
H: 0.7499 0.7499 0.9231

***

No. 4
Compound: Li2LaCdH
Source: Alexandria
Functional: PBE-GGA
Structure: relaxed

Output
The uncorrected energy comes out at -2.775 eV per atom. Its spin magnetization is 0.00 Bohr magnetons per cell.

Cell: 4.5878 4.5878 4.9382 Å, 90.00 90.00 90.00°
Fractional coordinates of all 5 atoms:
Li: 0.0000 0.5000 0.0000
Li: 0.5000 0.0000 0.0000
La: 0.0000 0.0000 0.5000
Cd: 0.5000 0.5000 0.5000
H: 0.0000 0.0000 0.0000

***

No. 5
Compound: LaMgCd2H
Source: Alexandria
Functional: PBE-GGA
Structure: relaxed

Output
The uncorrected energy comes out at -2.523 eV per atom. Its spin magnetization is 0.00 Bohr magnetons per cell.

Cell: 4.9722 4.9722 4.5107 Å, 90.00 90.00 90.00°
Fractional coordinates of all 5 atoms:
La: 0.0000 0.0000 0.0000
Mg: 0.5000 0.5000 0.0000
Cd: 0.0000 0.5000 0.5000
Cd: 0.5000 0.0000 0.5000
H: 0.0000 0.0000 0.5000

***

No. 6
Compound: LaMg2CdH
Source: Alexandria
Functional: PBE-GGA
Structure: relaxed

Output
The uncorrected energy comes out at -2.693 eV per atom. Its spin magnetization is 0.00 Bohr magnetons per cell.

Cell: 4.7849 4.7849 4.6904 Å, 90.00 90.00 90.00°
Fractional coordinates of all 5 atoms:
La: 0.0000 0.0000 0.0000
Mg: 0.0000 0.5000 0.5000
Mg: 0.5000 0.0000 0.5000
Cd: 0.5000 0.5000 0.0000
H: 0.0000 0.0000 0.5000

***

No. 7
Compound: LaCd2HN
Source: Alexandria
Functional: PBE-GGA
Structure: relaxed

Output
The uncorrected energy comes out at -3.091 eV per atom. Its spin magnetization is 0.72 Bohr magnetons per cell.

Cell: 4.2801 4.2801 6.0938 Å, 90.00 90.00 90.00°
Fractional coordinates of all 5 atoms:
La: 0.0000 0.0000 0.0000
Cd: 0.0000 0.5000 0.5000
Cd: 0.5000 0.0000 0.5000
H: 0.5000 0.5000 0.0000
N: 0.5000 0.5000 0.5000

***

No. 8
Compound: La6Cd2HN
Source: Alexandria
Functional: PBE-GGA
Structure: relaxed

Output
The uncorrected energy comes out at -4.825 eV per atom. Its spin magnetization is 0.00 Bohr magnetons per cell.

Cell: 7.2625 7.2625 7.2570 Å, 119.97 119.97 90.03°
Fractional coordinates of all 10 atoms:
La: 0.2423 0.2423 0.0003
La: 0.2415 0.2415 0.4836
La: 0.2419 0.7581 0.0000
La: 0.7581 0.2419 0.0000
La: 0.7577 0.7577 0.9997
La: 0.7585 0.7585 0.5164
Cd: 0.2503 0.7497 0.5000
Cd: 0.7497 0.2503 0.5000
H: 0.5000 0.5000 0.0000
N: 0.0000 0.0000 0.0000

***

No. 9
Compound: Na2LaCdH
Source: Alexandria
Functional: PBE-GGA
Structure: relaxed

Output
The uncorrected energy comes out at -2.476 eV per atom. Its spin magnetization is 0.00 Bohr magnetons per cell.

Cell: 4.8959 4.8959 5.0456 Å, 90.00 90.00 90.00°
Fractional coordinates of all 5 atoms:
Na: 0.0000 0.5000 0.0000
Na: 0.5000 0.0000 0.0000
La: 0.0000 0.0000 0.5000
Cd: 0.5000 0.5000 0.5000
H: 0.0000 0.0000 0.0000

***

No. 10
Compound: La2NbCdH
Source: Alexandria
Functional: PBE-GGA
Structure: relaxed

Output
The uncorrected energy comes out at -4.121 eV per atom. Its spin magnetization is 0.00 Bohr magnetons per cell.

Cell: 5.4884 5.4884 5.3923 Å, 90.00 90.00 90.00°
Fractional coordinates of all 5 atoms:
La: 0.0000 0.5000 0.0000
La: 0.5000 0.0000 0.0000
Nb: 0.0000 0.0000 0.0000
Cd: 0.0000 0.0000 0.5000
H: 0.5000 0.5000 0.5000

***

No. 11
Compound: LaCdNi2H8
Source: Alexandria
Functional: PBE-GGA
Structure: relaxed

Output
The uncorrected energy comes out at -3.706 eV per atom. Its spin magnetization is 0.00 Bohr magnetons per cell.

Cell: 4.4475 4.4475 6.7573 Å, 90.00 90.00 120.00°
Fractional coordinates of all 12 atoms:
La: 0.0000 0.0000 0.0000
Cd: 0.0000 0.0000 0.5000
Ni: 0.3333 0.6667 0.7193
Ni: 0.6667 0.3333 0.2807
H: 0.0310 0.6746 0.2914
H: 0.3254 0.3564 0.2914
H: 0.3333 0.6667 0.9502
H: 0.3564 0.0310 0.7086
H: 0.6436 0.9690 0.2914
H: 0.6667 0.3333 0.0498
H: 0.6746 0.6436 0.7086
H: 0.9690 0.3254 0.7086

***

No. 12
Compound: LaCdNi4H6
Source: Alexandria
Functional: PBE-GGA
Structure: relaxed

Output
The uncorrected energy comes out at -4.378 eV per atom. Its spin magnetization is 0.00 Bohr magnetons per cell.

Cell: 4.4518 4.4518 6.7798 Å, 90.00 90.00 120.00°
Fractional coordinates of all 12 atoms:
La: 0.0000 0.0000 0.0000
Cd: 0.0000 0.0000 0.5000
Ni: 0.3333 0.6667 0.3187
Ni: 0.3333 0.6667 0.6813
Ni: 0.6667 0.3333 0.3187
Ni: 0.6667 0.3333 0.6813
H: 0.0000 0.5000 0.1743
H: 0.0000 0.5000 0.8257
H: 0.5000 0.0000 0.1743
H: 0.5000 0.0000 0.8257
H: 0.5000 0.5000 0.1743
H: 0.5000 0.5000 0.8257

***

No. 13
Compound: La2CdNiH
Source: Alexandria
Functional: PBE-GGA
Structure: relaxed

Output
The uncorrected energy comes out at -4.267 eV per atom. Its spin magnetization is 0.00 Bohr magnetons per cell.

Cell: 5.3754 5.3754 3.7156 Å, 90.00 90.00 90.00°
Fractional coordinates of all 5 atoms:
La: 0.0000 0.5000 0.0000
La: 0.5000 0.0000 0.0000
Cd: 0.0000 0.0000 0.5000
Ni: 0.5000 0.5000 0.5000
H: 0.5000 0.5000 0.0000

***

No. 14
Compound: LaCd2PH
Source: Alexandria
Functional: PBE-GGA
Structure: relaxed

Output
The uncorrected energy comes out at -3.387 eV per atom. Its spin magnetization is 0.00 Bohr magnetons per cell.

Cell: 4.4237 4.4237 5.0316 Å, 90.00 90.00 90.00°
Fractional coordinates of all 5 atoms:
La: 0.0000 0.0000 0.0000
Cd: 0.0000 0.5000 0.5000
Cd: 0.5000 0.0000 0.5000
P: 0.5000 0.5000 0.0000
H: 0.0000 0.0000 0.5000

***

No. 15
Compound: LaCd2HPb
Source: Alexandria
Functional: PBE-GGA
Structure: relaxed

Output
The uncorrected energy comes out at -3.050 eV per atom. Its spin magnetization is 0.00 Bohr magnetons per cell.

Cell: 4.8638 4.8638 4.7768 Å, 90.00 90.00 90.00°
Fractional coordinates of all 5 atoms:
La: 0.0000 0.0000 0.0000
Cd: 0.0000 0.5000 0.5000
Cd: 0.5000 0.0000 0.5000
H: 0.0000 0.0000 0.5000
Pb: 0.5000 0.5000 0.0000

***

No. 16
Compound: La2CdHPd6
Source: Alexandria
Functional: PBE-GGA
Structure: relaxed

Output
The uncorrected energy comes out at -5.142 eV per atom. Its spin magnetization is 0.00 Bohr magnetons per cell.

Cell: 7.3151 7.3151 7.3151 Å, 46.69 46.69 46.69°
Fractional coordinates of all 10 atoms:
La: 0.2378 0.2378 0.2378
La: 0.7622 0.7622 0.7622
Cd: 0.5000 0.5000 0.5000
H: 0.0000 0.0000 0.0000
Pd: 0.2241 0.2241 0.7267
Pd: 0.2241 0.7267 0.2241
Pd: 0.2733 0.7759 0.7759
Pd: 0.7267 0.2241 0.2241
Pd: 0.7759 0.2733 0.7759
Pd: 0.7759 0.7759 0.2733

***

No. 17
Compound: LaCdH6Pd4
Source: Alexandria
Functional: PBE-GGA
Structure: relaxed

Output
The uncorrected energy comes out at -4.213 eV per atom. Its spin magnetization is 0.00 Bohr magnetons per cell.

Cell: 4.8024 4.8024 6.9831 Å, 90.00 90.00 120.00°
Fractional coordinates of all 12 atoms:
La: 0.0000 0.0000 0.0000
Cd: 0.0000 0.0000 0.5000
H: 0.0000 0.5000 0.1509
H: 0.0000 0.5000 0.8491
H: 0.5000 0.0000 0.1509
H: 0.5000 0.0000 0.8491
H: 0.5000 0.5000 0.1509
H: 0.5000 0.5000 0.8491
Pd: 0.3333 0.6667 0.3050
Pd: 0.3333 0.6667 0.6950
Pd: 0.6667 0.3333 0.3050
Pd: 0.6667 0.3333 0.6950

***

No. 18
Compound: La2CdHPt6
Source: Alexandria
Functional: PBE-GGA
Structure: relaxed

Output
The uncorrected energy comes out at -5.711 eV per atom. Its spin magnetization is 0.00 Bohr magnetons per cell.

Cell: 5.7306 5.7306 7.4251 Å, 112.59 112.59 60.04°
Fractional coordinates of all 10 atoms:
La: 0.2285 0.2285 0.1826
La: 0.7715 0.7715 0.8174
Cd: 0.5000 0.5000 0.0000
H: 0.0000 0.0000 0.5000
Pt: 0.2255 0.2255 0.6761
Pt: 0.2246 0.7205 0.6737
Pt: 0.2795 0.7754 0.3263
Pt: 0.7205 0.2246 0.6737
Pt: 0.7754 0.2795 0.3263
Pt: 0.7745 0.7745 0.3239

***

No. 19
Compound: LaCdH6Pt3
Source: Alexandria
Functional: PBE-GGA
Structure: relaxed

Output
The uncorrected energy comes out at -4.297 eV per atom. Its spin magnetization is 0.00 Bohr magnetons per cell.

Cell: 5.1723 5.1723 5.1723 Å, 93.47 93.47 93.47°
Fractional coordinates of all 11 atoms:
La: 0.0000 0.0000 0.0000
Cd: 0.4112 0.4112 0.4112
H: 0.1338 0.5077 0.9388
H: 0.5077 0.9388 0.1338
H: 0.5142 0.9295 0.7560
H: 0.7560 0.5142 0.9295
H: 0.9295 0.7560 0.5142
H: 0.9388 0.1338 0.5077
Pt: 0.4466 0.6432 0.9264
Pt: 0.6432 0.9264 0.4466
Pt: 0.9264 0.4466 0.6432

***

No. 20
Compound: La2CdH6Ru
Source: Alexandria
Functional: PBE-GGA
Structure: relaxed

Output
The uncorrected energy comes out at -4.472 eV per atom. Its spin magnetization is 0.00 Bohr magnetons per cell.

Cell: 4.7602 4.7602 7.2665 Å, 90.00 90.00 120.00°
Fractional coordinates of all 10 atoms:
La: 0.3333 0.6667 0.2853
La: 0.6667 0.3333 0.7147
Cd: 0.0000 0.0000 0.0000
H: 0.1745 0.3491 0.6294
H: 0.1745 0.8255 0.6294
H: 0.3491 0.1745 0.3706
H: 0.6509 0.8255 0.6294
H: 0.8255 0.1745 0.3706
H: 0.8255 0.6509 0.3706
Ru: 0.0000 0.0000 0.5000